A geometry-optimized NaTl2Te2 structure. Source: Alexandria via LeMat-Bulk, functional PBE.

Lattice parameters (Å, degrees): 6.4912 6.4912 6.4912 124.79 124.79 81.88
Element x y z (fractional)
Na 0.0000 0.0000 0.0000
Tl 0.3454 0.3454 0.0000
Tl 0.6546 0.6546 0.0000
Te 0.2500 0.7500 0.5000
Te 0.7500 0.2500 0.5000

## Properties
- Formation energy from raw total energies: -0.268 eV per atom
- ρ: 6.4 Mg/m³
- Offset from the most stable computed form: 0.111 eV per atom
- Calculated total energy: -2.735 eV/atom

---

A geometry-optimized MgH4Ir4 structure. Source: Alexandria via LeMat-Bulk, functional PBE.

Lattice parameters (Å, degrees): 2.7818 4.7939 7.1013 90.14 101.18 90.03
Element x y z (fractional)
Mg 0.0000 0.0000 0.0000
H 0.0585 0.3871 0.1102
H 0.3944 0.6687 0.7911
H 0.5550 0.7268 0.1088
H 0.9445 0.4315 0.8953
Ir 0.1692 0.3166 0.3353
Ir 0.3293 0.9806 0.6586
Ir 0.6688 0.8097 0.3354
Ir 0.8324 0.4620 0.6655

## Properties
- ρ: 14.2 Mg/m³
- Offset from the most stable computed form: 0.036 eV per atom
- Calculated total energy: -5.608 eV/atom

---

A geometry-optimized Cs2Pb2Au structure. Source: Alexandria via LeMat-Bulk, functional PBE.

Lattice parameters (Å, degrees): 6.9413 6.9413 6.9413 111.98 111.98 104.56
Element x y z (fractional)
Cs 0.2500 0.7500 0.5000
Cs 0.7500 0.2500 0.5000
Pb 0.1658 0.1658 0.0000
Pb 0.8342 0.8342 0.0000
Au 0.5000 0.5000 0.0000

## Properties
- ΔE_f: 1.25 kJ/mol of atoms
- ρ: 5.7 Mg/m³
- Offset from the most stable computed form: 0.181 eV per atom
- Calculated total energy: -2.467 eV/atom

---

A geometry-optimized Pu3Zr3TaN8 structure. Source: Alexandria via LeMat-Bulk, functional PBE.

Lattice parameters (Å, degrees): 6.7163 6.7163 6.7163 58.41 58.41 58.41
Element x y z (fractional)
Pu 0.0000 0.5000 0.5000
Pu 0.5000 0.0000 0.5000
Pu 0.5000 0.5000 0.0000
Zr 0.0000 0.0000 0.5000
Zr 0.0000 0.5000 0.0000
Zr 0.5000 0.0000 0.0000
Ta 0.5000 0.5000 0.5000
N 0.2440 0.2440 0.2440
N 0.2623 0.7296 0.7296
N 0.2704 0.2704 0.7377
N 0.2704 0.7377 0.2704
N 0.7296 0.2623 0.7296
N 0.7296 0.7296 0.2623
N 0.7377 0.2704 0.2704
N 0.7560 0.7560 0.7560

## Properties
- Formation energy from raw total energies: -1.383 eV per atom
- ρ: 10.4 Mg/m³
- Calculated total energy: -11.189 eV/atom

---

A geometry-optimized LiBeZnRh structure. Source: Alexandria via LeMat-Bulk, functional PBE.

Lattice parameters (Å, degrees): 4.1032 4.1032 4.1032 60.00 60.00 60.00
Element x y z (fractional)
Li 0.0000 0.0000 0.0000
Be 0.7500 0.7500 0.7500
Zn 0.2500 0.2500 0.2500
Rh 0.5000 0.5000 0.5000

## Properties
- ΔE_f: -29.44 kJ/mol of atoms
- ρ: 6.3 Mg/m³
- Calculated total energy: -3.872 eV/atom

---

A geometry-optimized ZrMo2Ru structure. Source: Alexandria via LeMat-Bulk, functional PBE.

Lattice parameters (Å, degrees): 2.9085 2.9085 8.0853 90.00 90.00 90.00
Element x y z (fractional)
Zr 0.0000 0.0000 0.0000
Mo 0.0000 0.0000 0.5425
Mo 0.5000 0.5000 0.2870
Ru 0.5000 0.5000 0.7400

## Properties
- ΔE_f: 11.19 kJ/mol of atoms
- ρ: 9.3 Mg/m³
- Offset from the most stable computed form: 0.251 eV per atom
- Calculated total energy: -9.756 eV/atom

---

Number 1: total magnetic moment 0.00 μB/atom. Number 2: total magnetic moment 0.00 μB/atom. Number 3: total magnetic moment 0.00 μB/atom. Number 4: total magnetic moment 0.92 μB/atom. Number 5: total magnetic moment 0.00 μB/atom. Number 6: total magnetic moment 0.00 μB/atom.